[1]
Below is a relaxed structure of LiY2Zn2, with properties calculated at the PBE level.

Cell lengths 8.4561, 8.4561, 3.3791 Å; angles 90.00, 90.00, 90.00 degrees
Fractional coordinates of all 10 atoms:
1 Y 0.3510 0.8510 0.0000
2 Y 0.8510 0.6490 0.0000
3 Y 0.6490 0.1490 0.0000
4 Y 0.1490 0.3510 0.0000
5 Zn 0.1466 0.6466 0.5000
6 Zn 0.6466 0.8534 0.5000
7 Zn 0.8534 0.3534 0.5000
8 Zn 0.3534 0.1466 0.5000
9 Li 0.0000 0.0000 0.0000
10 Li 0.5000 0.5000 0.0000

---

[2]
Below is a relaxed structure of Li2YZn10, with properties calculated at the PBE level.

Cell lengths 5.1522, 6.7274, 6.8816 Å; angles 81.76, 68.02, 67.49 degrees
Fractional coordinates of all 13 atoms:
1 Li 0.0000 0.0000 0.5000
2 Li 0.5000 0.0000 0.5000
3 Y 0.0000 0.0000 0.0000
4 Zn 0.0020 0.3508 0.6452
5 Zn 0.9980 0.6492 0.3548
6 Zn 0.6472 0.3508 0.3548
7 Zn 0.3528 0.6492 0.6452
8 Zn 0.5000 0.5000 0.0000
9 Zn 0.0000 0.5000 0.0000
10 Zn 0.4957 0.7866 0.2220
11 Zn 0.5043 0.2134 0.7780
12 Zn 0.7177 0.7866 0.7780
13 Zn 0.2823 0.2134 0.2220

---

[3]
Below is a relaxed structure of LiY3Zn2, with properties calculated at the PBE level.

Cell lengths 3.6123, 3.6123, 10.9635 Å; angles 90.00, 90.00, 90.00 degrees
Fractional coordinates of all 6 atoms:
1 Li 0.5000 0.5000 0.5000
2 Y 0.0000 0.0000 0.0000
3 Y 0.0000 0.0000 0.6824
4 Y 0.0000 0.0000 0.3176
5 Zn 0.5000 0.5000 0.8361
6 Zn 0.5000 0.5000 0.1639

---

Number 1: energy relative to the elements -0.05 eV/atom. Number 2: energy relative to the elements -0.19 eV/atom. Number 3: energy relative to the elements -0.22 eV/atom.